[1]
! Ac4H9Se2, optimized geometry, DFT PBE; values from VASP
! E_tot: -4.37 eV/atom
&SYSTEM
  ibrav = 0, nat = 15, ntyp = 3
/
ATOMIC_SPECIES
Ac 227.00 Ac.upf
H 1.01 H.upf
Se 78.96 Se.upf
CELL_PARAMETERS angstrom
4.192 0.000 0.000
-2.096 3.631 0.000
0.000 0.000 15.705
ATOMIC_POSITIONS crystal
Ac 0.333 0.667 0.115
Ac 0.333 0.667 0.390
Ac 0.667 0.333 0.610
Ac 0.667 0.333 0.885
H 0.000 0.000 0.100
H 0.000 0.000 0.375
H 0.000 0.000 0.500
H 0.000 0.000 0.625
H 0.000 0.000 0.900
H 0.333 0.667 0.548
H 0.333 0.667 0.953
H 0.667 0.333 0.047
H 0.667 0.333 0.452
Se 0.333 0.667 0.749
Se 0.667 0.333 0.251



[2]
! AcHSe, optimized geometry, DFT PBE; values from VASP
! Relative energy among the computed polymorphs: 0.05 eV/f.u.
&SYSTEM
  ibrav = 0, nat = 6, ntyp = 3
/
ATOMIC_SPECIES
Ac 227.00 Ac.upf
H 1.01 H.upf
Se 78.96 Se.upf
CELL_PARAMETERS angstrom
4.371 0.000 0.000
0.000 4.371 0.000
0.000 0.000 6.833
ATOMIC_POSITIONS crystal
Ac 0.250 0.250 0.207
Ac 0.750 0.750 0.793
H 0.250 0.750 0.000
H 0.750 0.250 0.000
Se 0.250 0.250 0.675
Se 0.750 0.750 0.325



[3]
! Ac2HSe2, optimized geometry, DFT PBE; values from VASP
! Relative energy among the computed polymorphs: 0.00 eV/f.u.
&SYSTEM
  ibrav = 0, nat = 10, ntyp = 3
/
ATOMIC_SPECIES
Ac 227.00 Ac.upf
H 1.01 H.upf
Se 78.96 Se.upf
CELL_PARAMETERS angstrom
2.161 -9.004 0.000
2.161 9.004 0.000
0.000 0.000 6.979
ATOMIC_POSITIONS crystal
Ac 0.072 0.928 0.500
Ac 0.326 0.674 0.466
Ac 0.674 0.326 0.966
Ac 0.928 0.072 0.000
H 0.117 0.883 0.845
H 0.883 0.117 0.345
Se 0.300 0.700 0.002
Se 0.473 0.527 0.699
Se 0.527 0.473 0.199
Se 0.700 0.300 0.502



[4]
! AcHSe2, optimized geometry, DFT PBE; values from VASP
! Relative energy among the computed polymorphs: 0.26 eV/f.u.
&SYSTEM
  ibrav = 0, nat = 4, ntyp = 3
/
ATOMIC_SPECIES
Ac 227.00 Ac.upf
H 1.01 H.upf
Se 78.96 Se.upf
CELL_PARAMETERS angstrom
2.369 1.368 6.567
-2.369 1.368 6.567
0.000 -2.735 6.567
ATOMIC_POSITIONS crystal
Ac 0.000 0.000 0.000
H 0.500 0.500 0.500
Se 0.411 0.411 0.411
Se 0.589 0.589 0.589



[5]
! Ac2HSe2, optimized geometry, DFT PBE; values from VASP
! Relative energy among the computed polymorphs: 1.49 eV/f.u.
&SYSTEM
  ibrav = 0, nat = 5, ntyp = 3
/
ATOMIC_SPECIES
Ac 227.00 Ac.upf
H 1.01 H.upf
Se 78.96 Se.upf
CELL_PARAMETERS angstrom
-2.122 3.081 6.109
2.122 -3.081 6.109
2.122 3.081 -6.109
ATOMIC_POSITIONS crystal
Ac 0.158 0.158 0.000
Ac 0.842 0.842 0.000
H 0.000 0.500 0.500
Se 0.337 0.837 0.500
Se 0.663 0.163 0.500



[6]
! Ac2TeH2Se, optimized geometry, DFT PBE; values from VASP
! E_tot: -4.97 eV/atom
&SYSTEM
  ibrav = 0, nat = 6, ntyp = 4
/
ATOMIC_SPECIES
Ac 227.00 Ac.upf
Te 127.60 Te.upf
H 1.01 H.upf
Se 78.96 Se.upf
CELL_PARAMETERS angstrom
4.348 0.000 0.000
-2.174 3.766 0.000
0.000 0.000 8.663
ATOMIC_POSITIONS crystal
Ac 0.333 0.667 0.264
Ac 0.667 0.333 0.736
Te 0.000 0.000 0.000
H 0.333 0.667 0.738
H 0.667 0.333 0.262
Se 0.000 0.000 0.500



[7]
! AcSiH3, optimized geometry, DFT PBE; values from VASP
! E_tot: -3.89 eV/atom
&SYSTEM
  ibrav = 0, nat = 5, ntyp = 3
/
ATOMIC_SPECIES
Ac 227.00 Ac.upf
Si 28.09 Si.upf
H 1.01 H.upf
CELL_PARAMETERS angstrom
3.913 0.000 0.000
0.000 3.913 0.000
0.000 0.000 3.913
ATOMIC_POSITIONS crystal
Ac 0.000 0.000 0.000
Si 0.500 0.500 0.500
H 0.000 0.500 0.500
H 0.500 0.000 0.500
H 0.500 0.500 0.000



[8]
! Ac5Si2H2, optimized geometry, DFT PBE; values from VASP
! E_tot: -4.57 eV/atom
&SYSTEM
  ibrav = 0, nat = 18, ntyp = 3
/
ATOMIC_SPECIES
Ac 227.00 Ac.upf
Si 28.09 Si.upf
H 1.01 H.upf
CELL_PARAMETERS angstrom
-10.545 3.587 3.449
10.545 -3.587 3.449
10.545 3.587 -3.449
ATOMIC_POSITIONS crystal
Ac 0.193 0.396 0.102
Ac 0.193 0.591 0.297
Ac 0.249 0.012 0.260
Ac 0.249 0.488 0.737
Ac 0.294 0.091 0.898
Ac 0.294 0.896 0.703
Ac 0.672 0.490 0.682
Ac 0.751 0.512 0.263
Ac 0.751 0.988 0.740
Ac 0.808 0.990 0.318
Si 0.719 0.144 0.370
Si 0.719 0.849 0.075
Si 0.775 0.349 0.630
Si 0.775 0.644 0.925
H 0.207 0.352 0.355
H 0.251 0.251 0.000
H 0.251 0.751 0.500
H 0.997 0.852 0.645



[9]
! Ac5Si2H, optimized geometry, DFT PBE; values from VASP
! E_tot: -4.53 eV/atom
&SYSTEM
  ibrav = 0, nat = 16, ntyp = 3
/
ATOMIC_SPECIES
Ac 227.00 Ac.upf
Si 28.09 Si.upf
H 1.01 H.upf
CELL_PARAMETERS angstrom
3.089 -6.350 0.000
3.089 6.350 0.000
0.000 0.000 14.590
ATOMIC_POSITIONS crystal
Ac 0.060 0.940 0.617
Ac 0.060 0.940 0.883
Ac 0.306 0.694 0.250
Ac 0.359 0.641 0.574
Ac 0.359 0.641 0.926
Ac 0.641 0.359 0.074
Ac 0.641 0.359 0.426
Ac 0.694 0.306 0.750
Ac 0.940 0.060 0.117
Ac 0.940 0.060 0.383
Si 0.180 0.820 0.075
Si 0.180 0.820 0.425
Si 0.820 0.180 0.575
Si 0.820 0.180 0.925
H 0.204 0.796 0.750
H 0.796 0.204 0.250



[10]
! AcSiH2, optimized geometry, DFT PBE; values from VASP
! E_tot: -4.14 eV/atom
&SYSTEM
  ibrav = 0, nat = 4, ntyp = 3
/
ATOMIC_SPECIES
Ac 227.00 Ac.upf
Si 28.09 Si.upf
H 1.01 H.upf
CELL_PARAMETERS angstrom
2.131 1.230 3.891
-2.131 1.230 3.891
0.000 -2.460 3.891
ATOMIC_POSITIONS crystal
Ac 0.000 0.000 0.000
Si 0.500 0.500 0.500
H 0.223 0.223 0.223
H 0.777 0.777 0.777



[11]
! Ac3Si2H3, optimized geometry, DFT PBE; values from VASP
! E_tot: -4.28 eV/atom
&SYSTEM
  ibrav = 0, nat = 8, ntyp = 3
/
ATOMIC_SPECIES
Ac 227.00 Ac.upf
Si 28.09 Si.upf
H 1.01 H.upf
CELL_PARAMETERS angstrom
7.771 0.000 0.000
-3.885 6.730 0.000
0.000 0.000 3.449
ATOMIC_POSITIONS crystal
Ac 0.000 0.699 0.000
Ac 0.301 0.301 0.000
Ac 0.699 0.000 0.000
Si 0.333 0.667 0.500
Si 0.667 0.333 0.500
H 0.000 0.182 0.500
H 0.182 0.000 0.500
H 0.818 0.818 0.500



[12]
! Ac12Si3H5, optimized geometry, DFT PBE; values from VASP
! E_tot: -4.37 eV/atom
&SYSTEM
  ibrav = 0, nat = 80, ntyp = 3
/
ATOMIC_SPECIES
Ac 227.00 Ac.upf
Si 28.09 Si.upf
H 1.01 H.upf
CELL_PARAMETERS angstrom
-8.426 8.426 8.426
8.426 -8.426 8.426
8.426 8.426 -8.426
ATOMIC_POSITIONS crystal
Ac 0.028 0.217 0.119
Ac 0.028 0.311 0.909
Ac 0.091 0.619 0.402
Ac 0.091 0.972 0.689
Ac 0.098 0.717 0.689
Ac 0.098 0.881 0.409
Ac 0.119 0.028 0.217
Ac 0.119 0.591 0.902
Ac 0.189 0.217 0.598
Ac 0.189 0.472 0.591
Ac 0.217 0.119 0.028
Ac 0.217 0.598 0.189
Ac 0.283 0.311 0.902
Ac 0.283 0.472 0.381
Ac 0.311 0.902 0.283
Ac 0.311 0.909 0.028
Ac 0.381 0.283 0.472
Ac 0.381 0.598 0.909
Ac 0.402 0.091 0.619
Ac 0.402 0.811 0.783
Ac 0.409 0.098 0.881
Ac 0.409 0.811 0.528
Ac 0.472 0.381 0.283
Ac 0.472 0.591 0.189
Ac 0.528 0.409 0.811
Ac 0.528 0.619 0.717
Ac 0.591 0.189 0.472
Ac 0.591 0.902 0.119
Ac 0.598 0.189 0.217
Ac 0.598 0.909 0.381
Ac 0.619 0.402 0.091
Ac 0.619 0.717 0.528
Ac 0.689 0.091 0.972
Ac 0.689 0.098 0.717
Ac 0.717 0.528 0.619
Ac 0.717 0.689 0.098
Ac 0.783 0.402 0.811
Ac 0.783 0.881 0.972
Ac 0.811 0.528 0.409
Ac 0.811 0.783 0.402
Ac 0.881 0.409 0.098
Ac 0.881 0.972 0.783
Ac 0.902 0.119 0.591
Ac 0.902 0.283 0.311
Ac 0.909 0.028 0.311
Ac 0.909 0.381 0.598
Ac 0.972 0.689 0.091
Ac 0.972 0.783 0.881
Si 0.125 0.250 0.375
Si 0.125 0.375 0.750
Si 0.250 0.375 0.125
Si 0.250 0.875 0.625
Si 0.375 0.125 0.250
Si 0.375 0.750 0.125
Si 0.625 0.250 0.875
Si 0.625 0.875 0.750
Si 0.750 0.125 0.375
Si 0.750 0.625 0.875
Si 0.875 0.625 0.250
Si 0.875 0.750 0.625
H 0.000 0.000 0.000
H 0.000 0.000 0.500
H 0.000 0.500 0.000
H 0.000 0.500 0.500
H 0.125 0.750 0.875
H 0.125 0.875 0.250
H 0.250 0.125 0.875
H 0.250 0.625 0.375
H 0.375 0.250 0.625
H 0.375 0.625 0.750
H 0.500 0.000 0.000
H 0.500 0.000 0.500
H 0.500 0.500 0.000
H 0.500 0.500 0.500
H 0.625 0.375 0.250
H 0.625 0.750 0.375
H 0.750 0.375 0.625
H 0.750 0.875 0.125
H 0.875 0.125 0.750
H 0.875 0.250 0.125



[13]
! Ac8Si5H, optimized geometry, DFT PBE; values from VASP
! E_tot: -4.94 eV/atom
&SYSTEM
  ibrav = 0, nat = 14, ntyp = 3
/
ATOMIC_SPECIES
Ac 227.00 Ac.upf
Si 28.09 Si.upf
H 1.01 H.upf
CELL_PARAMETERS angstrom
-4.722 4.722 4.952
4.722 -4.722 4.952
4.722 4.722 -4.952
ATOMIC_POSITIONS crystal
Ac 0.000 0.384 0.236
Ac 0.111 0.241 0.739
Ac 0.148 0.763 0.764
Ac 0.237 0.000 0.384
Ac 0.501 0.372 0.261
Ac 0.616 0.852 0.616
Ac 0.628 0.889 0.129
Ac 0.759 0.499 0.871
Si 0.000 0.000 0.000
Si 0.257 0.627 0.124
Si 0.373 0.498 0.630
Si 0.502 0.133 0.876
Si 0.867 0.743 0.370
H 0.750 0.250 0.500



[14]
! AcSiTcH, optimized geometry, DFT PBE; values from VASP
! E_tot: -6.37 eV/atom
&SYSTEM
  ibrav = 0, nat = 8, ntyp = 4
/
ATOMIC_SPECIES
Ac 227.00 Ac.upf
Si 28.09 Si.upf
Tc 98.00 Tc.upf
H 1.01 H.upf
CELL_PARAMETERS angstrom
4.221 0.000 0.000
0.000 4.221 0.000
0.000 0.000 8.386
ATOMIC_POSITIONS crystal
Ac 0.250 0.250 0.170
Ac 0.750 0.750 0.830
Si 0.250 0.250 0.647
Si 0.750 0.750 0.353
Tc 0.250 0.750 0.500
Tc 0.750 0.250 0.500
H 0.250 0.750 0.000
H 0.750 0.250 0.000



[15]
! Ac8Si3Te4H, optimized geometry, DFT PBE; values from VASP
! E_tot: -5.09 eV/atom
&SYSTEM
  ibrav = 0, nat = 16, ntyp = 4
/
ATOMIC_SPECIES
Ac 227.00 Ac.upf
Si 28.09 Si.upf
Te 127.60 Te.upf
H 1.01 H.upf
CELL_PARAMETERS angstrom
4.587 2.648 7.713
-4.587 2.648 7.713
0.000 -5.297 7.713
ATOMIC_POSITIONS crystal
Ac 0.234 0.745 0.745
Ac 0.241 0.241 0.241
Ac 0.255 0.255 0.766
Ac 0.255 0.766 0.255
Ac 0.745 0.234 0.745
Ac 0.745 0.745 0.234
Ac 0.759 0.759 0.759
Ac 0.766 0.255 0.255
Si 0.000 0.000 0.500
Si 0.000 0.500 0.000
Si 0.500 0.000 0.000
Te 0.000 0.000 0.000
Te 0.000 0.500 0.500
Te 0.500 0.000 0.500
Te 0.500 0.500 0.000
H 0.500 0.500 0.500



[16]
! AcSmH, optimized geometry, DFT PBE; values from VASP
! Relative energy among the computed polymorphs: 0.06 eV/f.u.
&SYSTEM
  ibrav = 0, nat = 3, ntyp = 3
/
ATOMIC_SPECIES
Ac 227.00 Ac.upf
Sm 150.36 Sm.upf
H 1.01 H.upf
CELL_PARAMETERS angstrom
3.853 0.000 0.000
-1.926 3.337 0.000
0.000 0.000 6.122
ATOMIC_POSITIONS crystal
Ac 0.000 0.000 0.000
Sm 0.667 0.333 0.519
H 0.333 0.667 0.724



[17]
! AcSmH, optimized geometry, DFT PBE; values from VASP
! Relative energy among the computed polymorphs: 0.40 eV/f.u.
&SYSTEM
  ibrav = 0, nat = 3, ntyp = 3
/
ATOMIC_SPECIES
Ac 227.00 Ac.upf
Sm 150.36 Sm.upf
H 1.01 H.upf
CELL_PARAMETERS angstrom
-1.791 1.791 6.519
1.791 -1.791 6.519
1.791 1.791 -6.519
ATOMIC_POSITIONS crystal
Ac 0.000 0.000 0.000
Sm 0.711 0.711 0.000
H 0.192 0.192 0.000



[18]
! AcSm2H, optimized geometry, DFT PBE; values from VASP
! Relative energy among the computed polymorphs: 1.35 eV/f.u.
&SYSTEM
  ibrav = 0, nat = 4, ntyp = 3
/
ATOMIC_SPECIES
Ac 227.00 Ac.upf
Sm 150.36 Sm.upf
H 1.01 H.upf
CELL_PARAMETERS angstrom
3.500 0.000 0.000
0.000 3.500 0.000
0.000 0.000 8.969
ATOMIC_POSITIONS crystal
Ac 0.000 0.000 0.000
Sm 0.500 0.500 0.320
Sm 0.500 0.500 0.680
H 0.000 0.000 0.500



[19]
! Ac2SmH, optimized geometry, DFT PBE; values from VASP
! Relative energy among the computed polymorphs: 0.00 eV/f.u.
&SYSTEM
  ibrav = 0, nat = 4, ntyp = 3
/
ATOMIC_SPECIES
Ac 227.00 Ac.upf
Sm 150.36 Sm.upf
H 1.01 H.upf
CELL_PARAMETERS angstrom
1.899 1.096 10.325
-1.899 1.096 10.325
0.000 -2.192 10.325
ATOMIC_POSITIONS crystal
Ac 0.116 0.116 0.116
Ac 0.884 0.884 0.884
Sm 0.000 0.000 0.000
H 0.500 0.500 0.500



[20]
! Ac2SmH, optimized geometry, DFT PBE; values from VASP
! Relative energy among the computed polymorphs: 0.21 eV/f.u.
&SYSTEM
  ibrav = 0, nat = 4, ntyp = 3
/
ATOMIC_SPECIES
Ac 227.00 Ac.upf
Sm 150.36 Sm.upf
H 1.01 H.upf
CELL_PARAMETERS angstrom
3.717 0.000 0.000
0.000 3.717 0.000
0.000 0.000 9.117
ATOMIC_POSITIONS crystal
Ac 0.000 0.000 0.198
Ac 0.000 0.000 0.802
Sm 0.500 0.500 0.500
H 0.500 0.500 0.000



[21]
! AcSm2H, optimized geometry, DFT PBE; values from VASP
! Relative energy among the computed polymorphs: 0.00 eV/f.u.
&SYSTEM
  ibrav = 0, nat = 4, ntyp = 3
/
ATOMIC_SPECIES
Ac 227.00 Ac.upf
Sm 150.36 Sm.upf
H 1.01 H.upf
CELL_PARAMETERS angstrom
1.899 1.096 8.909
-1.899 1.096 8.909
0.000 -2.192 8.909
ATOMIC_POSITIONS crystal
Ac 0.000 0.000 0.000
Sm 0.218 0.218 0.218
Sm 0.782 0.782 0.782
H 0.500 0.500 0.500



Number 1: theoretical density 7467 kg/m3, V 239 Å³/cell. Number 2: theoretical density 7808 kg/m3, V 131 Å³/cell. Number 3: theoretical density 7496 kg/m3, V 272 Å³/cell. Number 4: theoretical density 5021 kg/m3, V 128 Å³/cell. Number 5: theoretical density 6369 kg/m3, V 160 Å³/cell. Number 6: theoretical density 7756 kg/m3, V 142 Å³/cell. Number 7: theoretical density 7152 kg/m3, V 60 Å³/cell. Number 8: theoretical density 7594 kg/m3, V 522 Å³/cell. Number 9: theoretical density 6917 kg/m3, V 572 Å³/cell. Number 10: theoretical density 6977 kg/m3, V 61 Å³/cell. Number 11: theoretical density 6815 kg/m3, V 180 Å³/cell. Number 12: theoretical density 7810 kg/m3, V 2393 Å³/cell. Number 13: theoretical density 7359 kg/m3, V 442 Å³/cell. Number 14: theoretical density 7873 kg/m3, V 149 Å³/cell. Number 15: theoretical density 7123 kg/m3, V 562 Å³/cell. Number 16: theoretical density 7983 kg/m3, V 79 Å³/cell. Number 17: theoretical density 7509 kg/m3, V 84 Å³/cell. Number 18: theoretical density 7989 kg/m3, V 110 Å³/cell. Number 19: theoretical density 7797 kg/m3, V 129 Å³/cell. Number 20: theoretical density 7982 kg/m3, V 126 Å³/cell. Number 21: theoretical density 7892 kg/m3, V 111 Å³/cell.